Compound: Nd4Ho5Sc3
Source: Alexandria
Functional: PBE
Structure: optimized geometry

## Properties
**Fermi-level density of states**: 1.61 states/eV per atom
**Density**: 6.8 g cm⁻³
**Energy of formation**: 210 meV/atom
**Total moment**: 1.38 μB per cell
**E_tot**: -4.8698 eV per atom

Lattice parameters (Å, degrees): 15.9652 5.7756 9.2288 90.00 117.55 90.00
Closest atoms and distances in Å follow each position.
Space group C2/m (No. 12)
One atom of each set of equivalent atoms:
Nd (0.0861, 0.0000, 0.4487) (multiplicity 4)  2 Nd 3.30-3.56, 5 Ho 3.39-3.65, 1 Sc 3.45
Nd (0.2183, 0.0000, 0.8829) (multiplicity 4)  3 Sc 3.30-3.42, 3 Nd 3.47-3.56, 3 Ho 3.55-3.60
Ho (0.0000, 0.0000, 0.0000) (multiplicity 2)  4 Sc 2.89-3.15
Ho (0.0699, 0.5000, 0.7128) (multiplicity 4)  2 Sc 3.20-3.32, 2 Ho 3.51-3.55
Ho (0.1715, 0.5000, 0.3748) (multiplicity 4)  4 Sc 3.15-3.36, 3 Nd 3.39-3.43
Sc (0.0000, 0.5000, 0.0000) (multiplicity 2)  2 Ho 2.89
Sc (0.2183, 0.0000, 0.2401) (multiplicity 4)  5 Ho 3.15-3.36, 4 Nd 3.30-3.45

Compound: MnAl2Sb
Source: Alexandria
Functional: PBE
Structure: optimized geometry

## Properties
**E_form (uncorrected)**: 145 meV/atom
**Fermi-level density of states**: 0.52 states/eV per atom
**Density**: 5.3 g cm⁻³
**Total moment**: 3.05 μB per cell
**E_tot**: -5.0488 eV per atom

Lattice parameters (Å, degrees): 3.0438 3.8201 6.2344 90.00 90.00 90.00
Closest atoms and distances in Å follow each position.
Space group Pmm2 (No. 25)
One atom of each set of equivalent atoms:
Mn (0.0000, 0.0000, 0.0000) (multiplicity 1)  5 Al 2.60-2.71
Al (0.0000, 0.0000, 0.5823) (multiplicity 1)  1 Mn 2.60, 4 Al 2.83
Al (0.5000, 0.5000, 0.8116) (multiplicity 1)  4 Mn 2.71, 4 Al 2.83, 1 Sb 2.88
Sb (0.5000, 0.5000, 0.2742) (multiplicity 1)  5 Al 2.88-3.11, 4 Mn 2.98, 2 Sb 3.04

Compound: LaTa2Tl
Source: Alexandria
Functional: PBE
Structure: optimized geometry

## Properties
**Fermi-level density of states**: 1.93 states/eV per atom
**Density**: 12.1 g cm⁻³
**Energy of formation**: 423 meV/atom
**Total moment**: 0.00 μB per cell
**E_tot**: -7.3272 eV per atom

Lattice parameters (Å, degrees): 3.3342 3.3342 30.2072 90.00 90.00 120.00
Closest atoms and distances in Å follow each position.
Space group R3m (No. 160, hexagonal axes)
One atom of each set of equivalent atoms:
La (0.0000, 0.0000, 0.0000) (multiplicity 3)  3 Ta 3.33, 6 La 3.33, 3 Tl 3.54
Ta (0.0000, 0.0000, 0.4870) (multiplicity 3)  3 Ta 2.72
Ta (0.0000, 0.0000, 0.7567) (multiplicity 3)  3 Ta 2.72
Tl (0.0000, 0.0000, 0.2352) (multiplicity 3)  3 Ta 3.13, 6 Tl 3.33

Compound: Cs2Tb2RhO6
Source: Alexandria
Functional: PBE
Structure: optimized geometry

## Properties
**E_form (uncorrected)**: -2085 meV/atom
**Fermi-level density of states**: 0.68 states/eV per atom
**Density**: 6.2 g cm⁻³
**Total moment**: 2.11 μB per cell
**E_tot**: -6.4547 eV per atom

Lattice parameters (Å, degrees): 5.8986 10.1365 7.1844 90.00 104.42 90.00
Closest atoms and distances in Å follow each position.
Space group C2/m (No. 12)
One atom of each set of equivalent atoms:
Cs (0.0000, 0.1652, 0.0000) (multiplicity 4)  6 O 3.00-3.22, 1 Cs 3.35
Tb (0.0000, 0.3348, 0.5000) (multiplicity 4)  6 O 2.31
Rh (0.0000, 0.0000, 0.5000) (multiplicity 2)  6 O 2.09-2.11
O (0.2006, 0.1548, 0.6553) (multiplicity 8)  1 Rh 2.11, 2 Tb 2.31
O (0.2447, 0.5000, 0.6572) (multiplicity 4)  1 Rh 2.09, 2 Tb 2.31

Compound: CuAg2Rh
Source: Alexandria
Functional: PBE
Structure: optimized geometry

## Properties
**Fermi-level density of states**: 0.80 states/eV per atom
**Density**: 10.2 g cm⁻³
**Energy of formation**: 224 meV/atom
**Total moment**: 0.00 μB per cell
**Excess energy over the best structure of this formula in the dataset**: 78 meV/atom
**E_tot**: -4.0640 eV per atom

Lattice parameters (Å, degrees): 4.0522 4.0522 7.6030 90.00 90.00 90.00
Closest atoms and distances in Å follow each position.
Space group I-4m2 (No. 119)
One atom of each set of equivalent atoms:
Cu (0.0000, 0.0000, 0.0000) (multiplicity 2)  4 Rh 2.78, 8 Ag 2.78-2.87
Ag (0.0000, 0.0000, 0.5000) (multiplicity 2)  4 Rh 2.78, 4 Ag 2.78, 4 Cu 2.87
Ag (0.0000, 0.5000, 0.2500) (multiplicity 2)  4 Cu 2.78, 4 Ag 2.78, 4 Rh 2.87
Rh (0.0000, 0.5000, 0.7500) (multiplicity 2)  4 Cu 2.78, 8 Ag 2.78-2.87